Entry 1:
# La3Ir7Rh2

La3Ir7Rh2 after structural relaxation (PBE, the Alexandria database).

Computed properties:
Energy relative to the elements, meV per atom: -558.8
Size of the total moment, μB/cell: 0.00
ρ, g cm⁻³: 14.56

abc: 9.4615 9.4615 9.4615
angles: 33.06 33.06 33.06
Closest atoms and distances in Å follow each position.
Positions (direct):
La1 0.0000 0.0000 0.0000  6 Rh 3.11, 12 Ir 3.46
La2 0.1395 0.1395 0.1395  12 Ir 3.12-3.41, 3 La 3.43
La3 0.8605 0.8605 0.8605  12 Ir 3.12-3.41, 3 La 3.43
Ir1 0.0831 0.5798 0.5798  2 Rh 2.65-2.69, 5 Ir 2.67-2.77
Ir2 0.4202 0.4202 0.9169  2 Rh 2.65-2.69, 5 Ir 2.67-2.77
Ir3 0.4202 0.9169 0.4202  2 Rh 2.65-2.69, 5 Ir 2.67-2.77
Ir4 0.5000 0.5000 0.5000  6 Ir 2.77
Ir5 0.5798 0.0831 0.5798  2 Rh 2.65-2.69, 5 Ir 2.67-2.77
Ir6 0.5798 0.5798 0.0831  2 Rh 2.65-2.69, 5 Ir 2.67-2.77
Ir7 0.9169 0.4202 0.4202  2 Rh 2.65-2.69, 5 Ir 2.67-2.77
Rh1 0.3323 0.3323 0.3323  6 Ir 2.65-2.69
Rh2 0.6677 0.6677 0.6677  6 Ir 2.65-2.69


Entry 2:
# Tm3P2Se

Tm3P2Se after structural relaxation (PBE, the Alexandria database).

Computed properties:
Formation energy (no corrections), eV per atom: -1.714
Size of the total moment, μB/cell: 0.00
ρ, g cm⁻³: 8.10

abc: 6.8850 6.8850 6.8850
angles: 146.56 131.81 59.92
Closest atoms and distances in Å follow each position.
Positions (direct):
Tm1 0.0000 0.0000 0.0000  4 P 2.78, 2 Se 2.81
Tm2 0.3224 0.3224 0.0000  4 P 2.74-2.82, 2 Se 2.90
Tm3 0.6776 0.6776 0.0000  4 P 2.74-2.82, 2 Se 2.90
P1 0.1639 0.6639 0.5000  6 Tm 2.74-2.82
P2 0.8361 0.3361 0.5000  6 Tm 2.74-2.82
Se1 0.5000 0.0000 0.5000  6 Tm 2.81-2.90


Entry 3:
# AgOsAu

AgOsAu after structural relaxation (PBE, the Alexandria database).

Computed properties:
Energy relative to the elements, meV per atom: 1224.3
Size of the total moment, μB/cell: 2.23
ρ, g cm⁻³: 13.74

abc: 4.3899 4.3899 4.3899
angles: 60.00 60.00 60.00
Closest atoms and distances in Å follow each position.
Positions (direct):
Ag1 0.0000 0.0000 0.0000  4 Au 2.69
Os1 0.5000 0.5000 0.5000  4 Au 2.69
Au1 0.2500 0.2500 0.2500  4 Os 2.69, 4 Ag 2.69


Entry 4:
# HfTiCoNi

HfTiCoNi after structural relaxation (PBE, the Alexandria database).

Computed properties:
Energy relative to the elements, meV per atom: -376.2
Size of the total moment, μB/cell: 0.00
ρ, g cm⁻³: 9.77

abc: 4.3564 4.3564 4.3564
angles: 60.00 60.00 60.00
Closest atoms and distances in Å follow each position.
Positions (direct):
Hf1 0.0000 0.0000 0.0000  4 Co 2.67, 4 Ni 2.67
Ti1 0.5000 0.5000 0.5000  4 Co 2.67, 4 Ni 2.67
Co1 0.2500 0.2500 0.2500  4 Ti 2.67, 4 Hf 2.67
Ni1 0.7500 0.7500 0.7500  4 Ti 2.67, 4 Hf 2.67


Entry 5:
# ScZn4Rh5

ScZn4Rh5 after structural relaxation (PBE, the Alexandria database).

Computed properties:
Energy relative to the elements, meV per atom: -524.8
Size of the total moment, μB/cell: 0.00
ρ, g cm⁻³: 9.48

abc: 3.0974 3.0974 14.9881
angles: 90.00 90.00 90.00
Closest atoms and distances in Å follow each position.
Positions (direct):
Sc1 0.0000 0.0000 0.0000  8 Rh 2.72
Zn1 0.0000 0.0000 0.2081  8 Rh 2.61-2.66, 1 Zn 2.91
Zn2 0.0000 0.0000 0.4023  8 Rh 2.63-2.64, 2 Zn 2.91-2.93
Zn3 0.0000 0.0000 0.5977  8 Rh 2.63-2.64, 2 Zn 2.91-2.93
Zn4 0.0000 0.0000 0.7919  8 Rh 2.61-2.66, 1 Zn 2.91
Rh1 0.5000 0.5000 0.1076  4 Zn 2.66, 4 Sc 2.72, 1 Rh 2.93
Rh2 0.5000 0.5000 0.3034  8 Zn 2.61-2.64
Rh3 0.5000 0.5000 0.5000  8 Zn 2.63, 2 Rh 2.95
Rh4 0.5000 0.5000 0.6966  8 Zn 2.61-2.64
Rh5 0.5000 0.5000 0.8924  4 Zn 2.66, 4 Sc 2.72, 1 Rh 2.93


Entry 6:
# NaZn4Ga6

NaZn4Ga6 after structural relaxation (PBE, the Alexandria database).

Computed properties:
Energy relative to the elements, meV per atom: -21.4
Size of the total moment, μB/cell: 0.00
ρ, g cm⁻³: 5.63

abc: 7.6047 7.6047 4.1397
angles: 90.00 90.00 120.00
Closest atoms and distances in Å follow each position.
Positions (direct):
Na1 0.0000 0.0000 0.0000  6 Ga 3.31, 6 Zn 3.41
Zn1 0.3333 0.6667 0.0000  9 Ga 2.60-2.75
Zn2 0.4110 0.2055 0.5000  6 Ga 2.65-2.70, 2 Zn 2.92
Zn3 0.7945 0.2055 0.5000  6 Ga 2.65-2.70, 2 Zn 2.92
Zn4 0.7945 0.5890 0.5000  6 Ga 2.65-2.70, 2 Zn 2.92
Ga1 0.1963 0.3927 0.5000  4 Zn 2.65-2.75
Ga2 0.1963 0.8037 0.5000  4 Zn 2.65-2.75
Ga3 0.5309 0.0619 0.0000  5 Zn 2.60-2.70
Ga4 0.5309 0.4691 0.0000  5 Zn 2.60-2.70
Ga5 0.6073 0.8037 0.5000  4 Zn 2.65-2.75
Ga6 0.9381 0.4691 0.0000  5 Zn 2.60-2.70


Entry 7:
# LaPm6Nd2Er

LaPm6Nd2Er after structural relaxation (PBE, the Alexandria database).

Computed properties:
Energy relative to the elements, meV per atom: 117.3
Size of the total moment, μB/cell: 0.00
ρ, g cm⁻³: 6.98

abc: 8.9778 8.9778 9.9619
angles: 94.75 94.75 118.38
Closest atoms and distances in Å follow each position.
Positions (direct):
La1 0.0958 0.9042 0.7500  8 Pm 3.52-3.90, 2 Nd 3.69
La2 0.9042 0.0958 0.2500  8 Pm 3.52-3.90, 2 Nd 3.69
Pm1 0.0015 0.2079 0.6217  4 Pm 3.32-3.71, 3 Nd 3.34-3.52, 2 La 3.52-3.67
Pm2 0.0786 0.5270 0.1842  4 Pm 3.32-3.71, 1 Nd 3.47, 1 La 3.56, 1 Er 3.64
Pm3 0.2079 0.0015 0.1217  4 Pm 3.32-3.71, 3 Nd 3.34-3.52, 2 La 3.52-3.67
Pm4 0.2515 0.6206 0.5560  6 Pm 3.45-3.85, 1 Nd 3.48, 1 Er 3.70
Pm5 0.3794 0.7485 0.9440  6 Pm 3.45-3.85, 1 Nd 3.48, 1 Er 3.70
Pm6 0.4730 0.9214 0.3158  4 Pm 3.32-3.71, 1 Nd 3.47, 1 La 3.56, 1 Er 3.64
Pm7 0.5270 0.0786 0.6842  4 Pm 3.32-3.71, 1 Nd 3.47, 1 La 3.56, 1 Er 3.64
Pm8 0.6206 0.2515 0.0560  6 Pm 3.45-3.85, 1 Nd 3.48, 1 Er 3.70
Pm9 0.7485 0.3794 0.4440  6 Pm 3.45-3.85, 1 Nd 3.48, 1 Er 3.70
Pm10 0.7921 0.9985 0.8783  4 Pm 3.32-3.71, 3 Nd 3.34-3.52, 2 La 3.52-3.67
Pm11 0.9214 0.4730 0.8158  4 Pm 3.32-3.71, 1 Nd 3.47, 1 La 3.56, 1 Er 3.64
Pm12 0.9985 0.7921 0.3783  4 Pm 3.32-3.71, 3 Nd 3.34-3.52, 2 La 3.52-3.67
Nd1 0.2108 0.3126 0.9585  5 Pm 3.34-3.52, 2 Er 3.38-3.43, 1 La 3.69
Nd2 0.3126 0.2108 0.4585  5 Pm 3.34-3.52, 2 Er 3.38-3.43, 1 La 3.69
Nd3 0.6874 0.7892 0.5415  5 Pm 3.34-3.52, 2 Er 3.38-3.43, 1 La 3.69
Nd4 0.7892 0.6874 0.0415  5 Pm 3.34-3.52, 2 Er 3.38-3.43, 1 La 3.69
Er1 0.4798 0.5202 0.2500  4 Nd 3.38-3.43, 4 Pm 3.64-3.70
Er2 0.5202 0.4798 0.7500  4 Nd 3.38-3.43, 4 Pm 3.64-3.70


Entry 8:
# K4NaAu

K4NaAu after structural relaxation (PBE, the Alexandria database).

Computed properties:
Energy relative to the elements, meV per atom: -95.6
Size of the total moment, μB/cell: 0.00
ρ, g cm⁻³: 2.05

abc: 9.6168 9.6168 7.5140
angles: 101.14 101.14 111.24
Closest atoms and distances in Å follow each position.
Positions (direct):
K1 0.0615 0.7292 0.9422  2 Au 3.40-3.41
K2 0.1915 0.3506 0.6317  2 Au 3.57, 1 Na 3.96
K3 0.2708 0.9385 0.5578  2 Au 3.40-3.41
K4 0.3506 0.1915 0.1317  2 Au 3.57, 1 Na 3.96
K5 0.6494 0.8085 0.8683  2 Au 3.57, 1 Na 3.96
K6 0.7292 0.0615 0.4422  2 Au 3.40-3.41
K7 0.8085 0.6494 0.3683  2 Au 3.57, 1 Na 3.96
K8 0.9385 0.2708 0.0578  2 Au 3.40-3.41
Na1 0.3781 0.6219 0.2500  6 K 3.96-4.10
Na2 0.6219 0.3781 0.7500  6 K 3.96-4.10
Au1 0.0016 0.9984 0.2500  8 K 3.40-3.57, 2 Au 3.76
Au2 0.9984 0.0016 0.7500  8 K 3.40-3.57, 2 Au 3.76


Entry 9:
# Al2NiOs

Al2NiOs after structural relaxation (PBE, the Alexandria database).

Computed properties:
Energy relative to the elements, meV per atom: -261.0
Size of the total moment, μB/cell: 0.00
ρ, g cm⁻³: 9.30

abc: 3.1650 3.1650 5.3993
angles: 90.00 90.00 90.00
Closest atoms and distances in Å follow each position.
Positions (direct):
Al1 0.0000 0.0000 0.0000  4 Os 2.51, 2 Ni 2.64-2.76, 4 Al 2.74
Al2 0.5000 0.5000 0.2937  4 Ni 2.47, 2 Os 2.68-2.72, 4 Al 2.74
Ni1 0.0000 0.0000 0.4892  6 Al 2.47-2.76, 4 Os 2.76
Os1 0.5000 0.5000 0.7892  6 Al 2.51-2.72, 4 Ni 2.76


Entry 10:
# Na2U2O7

Na2U2O7 after structural relaxation (PBE, the Alexandria database).

Computed properties:
Formation energy (no corrections), eV per atom: -2.751
Size of the total moment, μB/cell: 0.00
ρ, g cm⁻³: 5.60

abc: 7.2698 7.2698 4.2396
angles: 91.49 91.49 122.76
Closest atoms and distances in Å follow each position.
Positions (direct):
Na1 0.2403 0.7597 0.0000  4 O 2.35-2.47
Na2 0.7597 0.2403 0.0000  4 O 2.35-2.47
U1 0.2831 0.2831 0.7256  2 O 1.90
U2 0.7169 0.7169 0.2744  2 O 1.90
O1 0.0000 0.0000 0.5000  2 U 2.14
O2 0.1197 0.4154 0.7592  1 U 1.90
O3 0.3885 0.3885 0.2415  3 U 2.22-2.28
O4 0.4154 0.1197 0.7592  1 U 1.90
O5 0.5846 0.8803 0.2408  1 U 1.90
O6 0.6115 0.6115 0.7585  3 U 2.22-2.28
O7 0.8803 0.5846 0.2408  1 U 1.90


Entry 11:
# Al2OsW

Al2OsW after structural relaxation (PBE, the Alexandria database).

Computed properties:
Energy relative to the elements, meV per atom: -6.2
Size of the total moment, μB/cell: 0.00
ρ, g cm⁻³: 11.97

abc: 4.3796 4.3796 4.3796
angles: 60.00 60.00 60.00
Closest atoms and distances in Å follow each position.
Positions (direct):
Al1 0.0000 0.0000 0.0000  4 Al 2.68, 4 W 2.68
Al2 0.2500 0.2500 0.2500  4 Os 2.68, 4 Al 2.68
Os1 0.5000 0.5000 0.5000  4 W 2.68, 4 Al 2.68
W1 0.7500 0.7500 0.7500  4 Os 2.68, 4 Al 2.68


Entry 12:
# Rb2GaBr5

Rb2GaBr5 after structural relaxation (PBE, the Alexandria database).

Computed properties:
Formation energy (no corrections), eV per atom: -1.285
Size of the total moment, μB/cell: 0.00
ρ, g cm⁻³: 3.41

abc: 7.4900 7.4900 7.4900
angles: 116.16 116.16 96.79
Closest atoms and distances in Å follow each position.
Positions (direct):
Rb1 0.0000 0.5000 0.5000  10 Br 3.70-3.98
Rb2 0.5000 0.0000 0.5000  10 Br 3.70-3.98
Ga1 0.2042 0.2042 0.0000  5 Br 2.38-2.53
Br1 0.0380 0.0380 0.5588  1 Ga 2.53
Br2 0.0380 0.4791 0.0000  1 Ga 2.53
Br3 0.4791 0.0380 0.0000  1 Ga 2.53
Br4 0.4791 0.4791 0.4412  1 Ga 2.53
Br5 0.9653 0.9653 0.0000  1 Ga 2.38